[1]
Entry from the Alexandria database: a relaxed AcEu3As crystal (PBE).

Cell lengths 5.8914, 5.8914, 5.8914 Å; angles 90.00, 90.00, 90.00 degrees
Last column: nearest neighbours and their distance in Å.
Fractional coordinates of all 5 atoms:
Eu1 0.0000 0.5000 0.0000  2 As 2.95
Eu2 0.0000 0.0000 0.5000  2 As 2.95
Eu3 0.5000 0.0000 0.0000  2 As 2.95
Ac1 0.5000 0.5000 0.5000  12 Eu 4.17
As1 0.0000 0.0000 0.0000  6 Eu 2.95

Results
For the formation energy, the calculation gives -0.366 eV/atom. The density of states at the Fermi level comes out at 5.1 states/eV/f.u. As for the crystal system: cubic. The theoretical density is 6.2 g cm⁻³. The calculation puts the raw total energy at -8.28 eV per atom.

***

[2]
Entry from the Alexandria database: a relaxed Zn3Sn crystal (PBE).

Cell lengths 4.6106, 5.2063, 6.6983 Å; angles 98.22, 104.35, 90.58 degrees
Last column: nearest neighbours and their distance in Å.
Fractional coordinates of all 8 atoms:
Zn1 0.1493 0.4188 0.1801  6 Zn 2.58-2.81
Zn2 0.1486 0.9140 0.1827  7 Zn 2.58-2.81
Zn3 0.3587 0.8283 0.8275  6 Zn 2.63-2.76, 1 Sn 2.93
Zn4 0.8507 0.5812 0.8199  6 Zn 2.58-2.81
Zn5 0.8514 0.0860 0.8173  7 Zn 2.58-2.81
Zn6 0.6413 0.1717 0.1725  6 Zn 2.63-2.76, 1 Sn 2.93
Sn1 0.7234 0.7095 0.3846  8 Zn 2.91-3.18
Sn2 0.2766 0.2905 0.6154  8 Zn 2.91-3.18

Results
For the formation energy, the calculation gives 0.060 eV/atom. The density of states at the Fermi level comes out at 0.9 states/eV/f.u. As for the crystal system: triclinic. The theoretical density is 6.8 g cm⁻³. The calculation puts the raw total energy at -1.90 eV per atom.

***

[3]
Entry from the Alexandria database: a relaxed AcPmDyIn crystal (PBE).

Cell lengths 5.6456, 5.6456, 5.6456 Å; angles 60.00, 60.00, 60.00 degrees
Last column: nearest neighbours and their distance in Å.
Fractional coordinates of all 4 atoms:
Ac1 0.7500 0.7500 0.7500  4 Dy 3.46, 4 Pm 3.46
Pm1 0.5000 0.5000 0.5000  4 Ac 3.46, 4 In 3.46
In1 0.2500 0.2500 0.2500  4 Dy 3.46, 4 Pm 3.46
Dy1 0.0000 0.0000 0.0000  4 Ac 3.46, 4 In 3.46

Results
For the formation energy, the calculation gives -0.058 eV/atom. The density of states at the Fermi level comes out at 7.4 states/eV/f.u. As for the crystal system: cubic. The theoretical density is 8.5 g cm⁻³. The calculation puts the raw total energy at -4.11 eV per atom.

***

[4]
Entry from the Alexandria database: a relaxed Tm6Co2Au crystal (PBE).

Cell lengths 8.1481, 8.1481, 8.1481 Å; angles 106.98, 109.74, 111.74 degrees
Last column: nearest neighbours and their distance in Å.
Fractional coordinates of all 18 atoms:
Tm1 0.5255 0.7109 0.8146  2 Co 2.83, 1 Au 3.16
Tm2 0.4745 0.2891 0.1854  2 Co 2.83, 1 Au 3.16
Tm3 0.1037 0.2891 0.8146  2 Co 2.83, 1 Au 3.16
Tm4 0.8963 0.7109 0.1854  2 Co 2.83, 1 Au 3.16
Tm5 0.7961 0.7739 0.5700  1 Co 2.72, 1 Au 2.91
Tm6 0.2039 0.2261 0.4300  1 Co 2.72, 1 Au 2.91
Tm7 0.2039 0.7739 0.9778  1 Co 2.72, 1 Au 2.91
Tm8 0.7961 0.2261 0.0222  1 Co 2.72, 1 Au 2.91
Tm9 0.7010 0.3817 0.6807  3 Co 2.70-2.79
Tm10 0.2990 0.6183 0.3193  3 Co 2.70-2.79
Tm11 0.2990 0.9798 0.6807  3 Co 2.70-2.79
Tm12 0.7010 0.0202 0.3193  3 Co 2.70-2.79
Co1 0.5000 0.3849 0.8849  1 Co 2.23
Co2 0.5000 0.6151 0.1151  1 Co 2.23
Co3 0.6237 0.0000 0.6237  1 Co 2.32
Co4 0.3763 0.0000 0.3763  1 Co 2.32
Au1 0.0000 0.5000 0.5000  12 Tm 3.25-3.52
Au2 0.0000 0.0000 0.0000  8 Tm 2.91-3.16

Results
For the formation energy, the calculation gives -0.365 eV/atom. The density of states at the Fermi level comes out at 8.8 states/eV/f.u. As for the crystal system: orthorhombic. The theoretical density is 10.6 g cm⁻³. The calculation puts the raw total energy at -5.29 eV per atom.

***

[5]
Entry from the Alexandria database: a relaxed Dy4Ge2Sb crystal (PBE).

Cell lengths 7.7642, 7.7642, 7.7648 Å; angles 109.01, 109.02, 110.38 degrees
Last column: nearest neighbours and their distance in Å.
Fractional coordinates of all 14 atoms:
Dy1 0.8659 0.2592 0.2552  2 Ge 2.88-2.95, 1 Sb 3.04
Dy2 0.2457 0.4908 0.1063  2 Ge 2.88-2.95, 1 Sb 3.05
Dy3 0.0039 0.6107 0.7448  2 Ge 2.88-2.95, 1 Sb 3.04
Dy4 0.7407 0.9957 0.6064  2 Ge 2.88-2.95, 1 Sb 3.04
Dy5 0.3894 0.1344 0.3936  2 Ge 2.88-2.95, 1 Sb 3.05
Dy6 0.3844 0.1394 0.8937  2 Ge 2.88-2.95, 1 Sb 3.05
Dy7 0.5091 0.6158 0.7552  2 Ge 2.88-2.95, 1 Sb 3.04
Dy8 0.8607 0.7540 0.2448  2 Ge 2.88-2.95, 1 Sb 3.04
Ge1 0.7566 0.3749 0.8815  4 Dy 2.88-2.95
Ge2 0.4934 0.8751 0.1185  4 Dy 2.88-2.95
Ge3 0.6249 0.5066 0.3815  4 Dy 2.88-2.95
Ge4 0.1251 0.2434 0.6185  4 Dy 2.88-2.95
Sb1 0.2500 0.7500 0.5000  8 Dy 3.04-3.27
Sb2 0.0000 0.0000 0.0000  8 Dy 3.04-3.27

Results
The density of states at the Fermi level comes out at 5.8 states/eV/f.u. The formation energy from raw total energies comes out at -6.26 eV per formula unit. As for the crystal system: tetragonal. The theoretical density is 8.5 g cm⁻³. The calculation puts the raw total energy at -5.43 eV per atom.

***

[6]
Entry from the Alexandria database: a relaxed Pm2Al2Ge3 crystal (PBE).

Cell lengths 4.4408, 7.7030, 5.8223 Å; angles 114.02, 112.42, 90.00 degrees
Last column: nearest neighbours and their distance in Å.
Fractional coordinates of all 7 atoms:
Pm1 0.5728 0.7912 0.1455  6 Ge 3.00-3.20, 1 Al 3.32
Pm2 0.4272 0.2088 0.8545  6 Ge 3.00-3.20, 1 Al 3.32
Al1 0.8108 0.6270 0.6216  4 Ge 2.58-2.81, 2 Al 2.87
Al2 0.1892 0.3730 0.3784  4 Ge 2.58-2.81, 2 Al 2.87
Ge1 0.0000 0.5000 0.0000  2 Al 2.62, 2 Ge 2.83
Ge2 0.2816 0.7753 0.5631  3 Al 2.58-2.81, 1 Ge 2.83
Ge3 0.7184 0.2247 0.4369  3 Al 2.58-2.81, 1 Ge 2.83

Results
For the formation energy, the calculation gives -0.412 eV/atom. The density of states at the Fermi level comes out at 3.4 states/eV/f.u. The calculation puts the offset from the most stable computed form at 163.7 meV per atom. As for the crystal system: monoclinic. The theoretical density is 5.6 g cm⁻³. The calculation puts the raw total energy at -4.82 eV per atom.

***

Q: Number 5 is which compound?
A: Dy4Ge2Sb